# GGA-PBE MgAlP2O, optimized geometry
# calculated volume	85.8	Å³/cell
# ΔE to the lowest computed polymorph	0	meV per atom
# energy relative to the elements, uncorrected	-423	meV/atom
data_MgAlP2O
_chemical_formula_sum 'Mg1 Al1 P2 O1'
_symmetry_space_group_name_H-M 'P 1'
_symmetry_Int_Tables_number 1
_cell_length_a 5.064
_cell_length_b 5.064
_cell_length_c 3.347
_cell_angle_alpha 90.00
_cell_angle_beta 90.00
_cell_angle_gamma 90.00
loop_
_symmetry_equiv_pos_as_xyz
'x,y,z'
loop_
_atom_site_label
_atom_site_type_symbol
_atom_site_fract_x
_atom_site_fract_y
_atom_site_fract_z
P1 P 0.000 0.500 0.000
P2 P 0.500 0.000 0.000
Mg1 Mg 0.500 0.500 0.500
Al1 Al 0.000 0.000 0.000
O1 O 0.000 0.000 0.500

=====

# GGA-PBE PaHRuRh2, optimized geometry
# calculated volume	68.6	Å³/cell
# uncorrected energy	-7.99	eV/atom
data_PaHRuRh2
_chemical_formula_sum 'Pa1 H1 Ru1 Rh2'
_symmetry_space_group_name_H-M 'P 1'
_symmetry_Int_Tables_number 1
_cell_length_a 4.173
_cell_length_b 4.054
_cell_length_c 4.054
_cell_angle_alpha 90.00
_cell_angle_beta 90.00
_cell_angle_gamma 90.00
loop_
_symmetry_equiv_pos_as_xyz
'x,y,z'
loop_
_atom_site_label
_atom_site_type_symbol
_atom_site_fract_x
_atom_site_fract_y
_atom_site_fract_z
Pa1 Pa 0.500 0.500 0.500
H1 H 0.000 0.000 0.000
Ru1 Ru 0.500 0.000 0.000
Rh1 Rh 0.000 0.000 0.500
Rh2 Rh 0.000 0.500 0.000

=====

# GGA-PBE Nd3Y7Tm, optimized geometry
# DFT formation energy	0.141	eV/atom
# calculated volume	369.6	Å³/cell
# ΔE to the lowest computed polymorph	0	meV per atom
data_Nd3Y7Tm
_chemical_formula_sum 'Nd3 Y7 Tm1'
_symmetry_space_group_name_H-M 'P 1'
_symmetry_Int_Tables_number 1
_cell_length_a 8.887
_cell_length_b 10.314
_cell_length_c 5.553
_cell_angle_alpha 89.99
_cell_angle_beta 128.65
_cell_angle_gamma 106.72
loop_
_symmetry_equiv_pos_as_xyz
'x,y,z'
loop_
_atom_site_label
_atom_site_type_symbol
_atom_site_fract_x
_atom_site_fract_y
_atom_site_fract_z
Nd1 Nd 0.214 0.993 0.715
Nd2 Nd 0.000 0.500 0.000
Nd3 Nd 0.786 0.007 0.285
Y1 Y 0.897 0.829 0.897
Y2 Y 0.814 0.632 0.314
Y3 Y 0.635 0.287 0.135
Y4 Y 0.365 0.713 0.865
Y5 Y 0.500 0.000 0.500
Y6 Y 0.186 0.368 0.686
Y7 Y 0.103 0.171 0.103
Tm1 Tm 0.500 0.500 0.500

=====

# GGA-PBE Li2BiPd2O6, optimized geometry
# calculated volume	143.1	Å³/cell
# energy relative to the elements, uncorrected	-909	meV/atom
data_Li2BiPd2O6
_chemical_formula_sum 'Li2 Bi1 Pd2 O6'
_symmetry_space_group_name_H-M 'P 1'
_symmetry_Int_Tables_number 1
_cell_length_a 5.640
_cell_length_b 5.640
_cell_length_c 5.366
_cell_angle_alpha 98.70
_cell_angle_beta 98.70
_cell_angle_gamma 118.61
loop_
_symmetry_equiv_pos_as_xyz
'x,y,z'
loop_
_atom_site_label
_atom_site_type_symbol
_atom_site_fract_x
_atom_site_fract_y
_atom_site_fract_z
Li1 Li 0.763 0.237 0.000
Li2 Li 0.237 0.763 0.000
Bi1 Bi 0.000 0.000 0.500
Pd1 Pd 0.339 0.661 0.500
Pd2 Pd 0.661 0.339 0.500
O1 O 0.703 0.703 0.708
O2 O 0.012 0.389 0.731
O3 O 0.297 0.297 0.292
O4 O 0.389 0.012 0.731
O5 O 0.988 0.611 0.269
O6 O 0.611 0.988 0.269

=====

# GGA-PBE Hf2Al2Zn, optimized geometry
# DFT formation energy	-0.280	eV/atom
# calculated volume	183.4	Å³/cell
# ΔE to the lowest computed polymorph	52	meV per atom
data_Hf2Al2Zn
_chemical_formula_sum 'Hf4 Al4 Zn2'
_symmetry_space_group_name_H-M 'P 1'
_symmetry_Int_Tables_number 1
_cell_length_a 6.568
_cell_length_b 6.568
_cell_length_c 4.251
_cell_angle_alpha 90.00
_cell_angle_beta 90.00
_cell_angle_gamma 90.00
loop_
_symmetry_equiv_pos_as_xyz
'x,y,z'
loop_
_atom_site_label
_atom_site_type_symbol
_atom_site_fract_x
_atom_site_fract_y
_atom_site_fract_z
Zn1 Zn 0.000 0.000 0.000
Zn2 Zn 0.500 0.500 0.000
Hf1 Hf 0.167 0.667 0.500
Hf2 Hf 0.667 0.833 0.500
Hf3 Hf 0.833 0.333 0.500
Hf4 Hf 0.333 0.167 0.500
Al1 Al 0.365 0.865 0.000
Al2 Al 0.865 0.635 0.000
Al3 Al 0.635 0.135 0.000
Al4 Al 0.135 0.365 0.000

=====

# GGA-PBE Sr2HgSbRh, optimized geometry
# calculated volume	170.0	Å³/cell
# energy relative to the elements, uncorrected	-522	meV/atom
data_Sr2HgSbRh
_chemical_formula_sum 'Sr2 Hg1 Sb1 Rh1'
_symmetry_space_group_name_H-M 'P 1'
_symmetry_Int_Tables_number 1
_cell_length_a 5.844
_cell_length_b 5.844
_cell_length_c 4.977
_cell_angle_alpha 90.00
_cell_angle_beta 90.00
_cell_angle_gamma 90.00
loop_
_symmetry_equiv_pos_as_xyz
'x,y,z'
loop_
_atom_site_label
_atom_site_type_symbol
_atom_site_fract_x
_atom_site_fract_y
_atom_site_fract_z
Sb1 Sb 0.000 0.000 0.500
Rh1 Rh 0.000 0.000 0.000
Hg1 Hg 0.500 0.500 0.500
Sr1 Sr 0.000 0.500 0.000
Sr2 Sr 0.500 0.000 0.000

=====

# GGA-PBE HAuF2, optimized geometry
# calculated volume	80.9	Å³/cell
# ΔE to the lowest computed polymorph	0	meV per atom
data_HAuF2
_chemical_formula_sum 'H2 Au2 F4'
_symmetry_space_group_name_H-M 'P 1'
_symmetry_Int_Tables_number 1
_cell_length_a 4.782
_cell_length_b 4.782
_cell_length_c 4.894
_cell_angle_alpha 60.75
_cell_angle_beta 60.75
_cell_angle_gamma 90.00
loop_
_symmetry_equiv_pos_as_xyz
'x,y,z'
loop_
_atom_site_label
_atom_site_type_symbol
_atom_site_fract_x
_atom_site_fract_y
_atom_site_fract_z
H1 H 0.500 0.500 0.000
H2 H 0.250 0.750 0.500
Au1 Au 0.000 0.000 0.000
Au2 Au 0.750 0.250 0.500
F1 F 0.454 0.125 0.250
F2 F 0.296 0.625 0.250
F3 F 0.375 0.546 0.750
F4 F 0.875 0.704 0.750

=====

# GGA-PBE AlCrIn2Te6, optimized geometry
# calculated volume	632.5	Å³/cell
# energy relative to the elements, uncorrected	-237	meV/atom
data_AlCrIn2Te6
_chemical_formula_sum 'Al2 Cr2 In4 Te12'
_symmetry_space_group_name_H-M 'P 1'
_symmetry_Int_Tables_number 1
_cell_length_a 7.334
_cell_length_b 9.369
_cell_length_c 9.369
_cell_angle_alpha 84.23
_cell_angle_beta 83.32
_cell_angle_gamma 83.32
loop_
_symmetry_equiv_pos_as_xyz
'x,y,z'
loop_
_atom_site_label
_atom_site_type_symbol
_atom_site_fract_x
_atom_site_fract_y
_atom_site_fract_z
Al1 Al 0.250 0.249 0.751
Al2 Al 0.750 0.751 0.249
Cr1 Cr 0.250 0.916 0.084
Cr2 Cr 0.750 0.084 0.916
In1 In 0.214 0.772 0.584
In2 In 0.286 0.416 0.228
In3 In 0.786 0.228 0.416
In4 In 0.714 0.584 0.772
Te1 Te 0.110 0.977 0.815
Te2 Te 0.390 0.185 0.023
Te3 Te 0.890 0.023 0.185
Te4 Te 0.610 0.815 0.977
Te5 Te 0.415 0.900 0.338
Te6 Te 0.085 0.662 0.100
Te7 Te 0.585 0.100 0.662
Te8 Te 0.915 0.338 0.900
Te9 Te 0.850 0.754 0.527
Te10 Te 0.650 0.473 0.246
Te11 Te 0.150 0.246 0.473
Te12 Te 0.350 0.527 0.754

=====

# GGA-PBE Pm2PrHo, optimized geometry
# DFT formation energy	0.116	eV/atom
# calculated volume	136.3	Å³/cell
# ΔE to the lowest computed polymorph	99	meV per atom
data_Pm2PrHo
_chemical_formula_sum 'Pm2 Pr1 Ho1'
_symmetry_space_group_name_H-M 'P 1'
_symmetry_Int_Tables_number 1
_cell_length_a 4.277
_cell_length_b 4.277
_cell_length_c 7.450
_cell_angle_alpha 90.00
_cell_angle_beta 90.00
_cell_angle_gamma 90.00
loop_
_symmetry_equiv_pos_as_xyz
'x,y,z'
loop_
_atom_site_label
_atom_site_type_symbol
_atom_site_fract_x
_atom_site_fract_y
_atom_site_fract_z
Pr1 Pr 0.500 0.500 0.500
Ho1 Ho 0.500 0.500 0.000
Pm1 Pm 0.000 0.000 0.758
Pm2 Pm 0.000 0.000 0.242

=====

# GGA-PBE SmHoTmTh, optimized geometry
# DFT formation energy	0.011	eV/atom
# calculated volume	127.2	Å³/cell
# ΔE to the lowest computed polymorph	0	meV per atom
data_SmHoTmTh
_chemical_formula_sum 'Sm1 Ho1 Tm1 Th1'
_symmetry_space_group_name_H-M 'P 1'
_symmetry_Int_Tables_number 1
_cell_length_a 3.584
_cell_length_b 3.584
_cell_length_c 11.622
_cell_angle_alpha 90.01
_cell_angle_beta 98.87
_cell_angle_gamma 120.00
loop_
_symmetry_equiv_pos_as_xyz
'x,y,z'
loop_
_atom_site_label
_atom_site_type_symbol
_atom_site_fract_x
_atom_site_fract_y
_atom_site_fract_z
Sm1 Sm 0.471 0.133 0.620
Ho1 Ho 0.967 0.382 0.364
Tm1 Tm 0.135 0.966 0.116
Th1 Th 0.304 0.550 0.870

=====

# GGA-PBE AlFeHg2, optimized geometry
# DFT formation energy	0.486	eV/atom
# calculated volume	71.9	Å³/cell
data_AlFeHg2
_chemical_formula_sum 'Al1 Fe1 Hg2'
_symmetry_space_group_name_H-M 'P 1'
_symmetry_Int_Tables_number 1
_cell_length_a 4.667
_cell_length_b 4.667
_cell_length_c 4.667
_cell_angle_alpha 60.00
_cell_angle_beta 60.00
_cell_angle_gamma 60.00
loop_
_symmetry_equiv_pos_as_xyz
'x,y,z'
loop_
_atom_site_label
_atom_site_type_symbol
_atom_site_fract_x
_atom_site_fract_y
_atom_site_fract_z
Al1 Al 0.500 0.500 0.500
Hg1 Hg 0.000 0.000 0.000
Hg2 Hg 0.250 0.250 0.250
Fe1 Fe 0.750 0.750 0.750

=====

# GGA-PBE SiTc2Hg, optimized geometry
# calculated volume	64.2	Å³/cell
# ΔE to the lowest computed polymorph	124	meV per atom
# energy relative to the elements, uncorrected	169	meV/atom
data_SiTc2Hg
_chemical_formula_sum 'Si1 Tc2 Hg1'
_symmetry_space_group_name_H-M 'P 1'
_symmetry_Int_Tables_number 1
_cell_length_a 3.031
_cell_length_b 3.031
_cell_length_c 6.985
_cell_angle_alpha 90.00
_cell_angle_beta 90.00
_cell_angle_gamma 90.00
loop_
_symmetry_equiv_pos_as_xyz
'x,y,z'
loop_
_atom_site_label
_atom_site_type_symbol
_atom_site_fract_x
_atom_site_fract_y
_atom_site_fract_z
Hg1 Hg 0.000 0.000 0.504
Si1 Si 0.500 0.500 0.802
Tc1 Tc 0.000 0.000 0.980
Tc2 Tc 0.500 0.500 0.214

=====

Question: Which formula does entry 1 have?
Answer: MgAlP2O